[1]
Below is an optimized crystal structure of Pr5Dy2, with properties calculated at the PBE level.

Geometry as POSCAR:
```
Pr5Dy2
1.0
2.9224 1.6872 8.2582
-2.9224 1.6872 8.2582
0.0000 -3.3745 8.2582
Pr Dy
5 2
Cartesian
0.0000 0.0000 0.0000
0.0000 0.0000 7.2493
0.0000 0.0000 10.7045
0.0000 0.0000 14.0702
0.0000 0.0000 17.5254
0.0000 0.0000 3.7796
0.0000 0.0000 20.9951
```

## Properties
- calculated volume (A^3/atom) = 34.90
- ρ (g/cm³) = 7.0
- formation energy (meV/atom) = 131.7
- spin magnetization (μB per cell) = 0.00

=====

[2]
Below is an optimized crystal structure of Pr4Dy, with properties calculated at the PBE level.

Geometry as POSCAR:
```
Pr4Dy
1.0
3.6891 0.0000 0.0000
0.0000 3.6891 0.0000
0.0000 0.0000 25.9761
Pr Dy
8 2
Cartesian
0.0000 0.0000 2.5312
0.0000 0.0000 7.8240
0.0000 0.0000 18.1521
0.0000 0.0000 23.4449
1.8446 1.8446 5.1640
1.8446 1.8446 10.4568
1.8446 1.8446 15.5193
1.8446 1.8446 20.8120
0.0000 0.0000 12.9880
1.8446 1.8446 0.0000
```

## Properties
- calculated volume (A^3/atom) = 35.35
- ρ (g/cm³) = 6.8
- formation energy (meV/atom) = 18.1
- spin magnetization (μB per cell) = 0.00

=====

[3]
Below is an optimized crystal structure of Pr3Dy13, with properties calculated at the PBE level.

Geometry as POSCAR:
```
Pr3Dy13
1.0
10.0936 0.0000 0.0000
0.0000 5.0524 5.0609
0.0000 -5.0524 5.0609
Pr Dy
3 13
Cartesian
0.0000 0.0000 0.0000
2.5328 0.0000 2.5623
7.5608 0.0000 2.5623
0.0000 2.5056 7.6116
0.0000 -2.5056 7.6116
0.0000 0.0000 5.1030
2.5378 -2.5189 5.0818
2.5378 2.5189 5.0818
2.5417 0.0000 7.6010
5.0468 0.0000 0.0008
5.0468 -2.5434 2.5538
5.0468 2.5434 2.5538
5.0468 0.0000 5.1068
7.5519 0.0000 7.6010
7.5558 -2.5189 5.0818
7.5558 2.5189 5.0818
```

## Properties
- calculated volume (A^3/atom) = 32.26
- ρ (g/cm³) = 8.2
- formation energy (meV/atom) = 17.3
- spin magnetization (μB per cell) = 0.00

=====

[4]
Below is an optimized crystal structure of Pr4Dy, with properties calculated at the PBE level.

Geometry as POSCAR:
```
Pr4Dy
1.0
3.6805 0.0000 0.0000
-1.8402 3.1874 0.0000
0.0000 0.0000 45.0233
Pr Dy
12 3
Cartesian
0.0000 0.0000 4.5787
0.0000 0.0000 13.4868
0.0000 0.0000 31.5365
0.0000 0.0000 40.4446
0.0000 2.1249 16.5287
0.0000 2.1249 25.4368
0.0000 2.1249 34.5943
0.0000 2.1249 43.5024
1.8402 1.0625 1.5209
1.8402 1.0625 10.4290
1.8402 1.0625 19.5865
1.8402 1.0625 28.4946
0.0000 0.0000 22.5117
0.0000 2.1249 7.5039
1.8402 1.0625 37.5194
```

## Properties
- calculated volume (A^3/atom) = 35.23
- ρ (g/cm³) = 6.8
- formation energy (meV/atom) = 11.7
- spin magnetization (μB per cell) = 0.00

=====

[5]
Below is an optimized crystal structure of PrDy7, with properties calculated at the PBE level.

Geometry as POSCAR:
```
PrDy7
1.0
0.0000 5.0309 5.0309
5.0309 0.0000 5.0309
5.0309 5.0309 0.0000
Pr Dy
1 7
Cartesian
0.0000 0.0000 0.0000
2.5154 2.5154 0.0000
2.5154 0.0000 2.5154
5.0309 2.5154 2.5154
0.0000 2.5154 2.5154
2.5154 5.0309 2.5154
2.5154 2.5154 5.0309
5.0309 5.0309 5.0309
```

## Properties
- calculated volume (A^3/atom) = 31.83
- ρ (g/cm³) = 8.3
- formation energy (meV/atom) = 16.2
- spin magnetization (μB per cell) = 0.00

=====

[6]
Below is an optimized crystal structure of Pr2Dy13, with properties calculated at the PBE level.

Geometry as POSCAR:
```
Pr2Dy13
1.0
6.6319 0.0000 0.0000
1.4277 8.6328 0.0000
0.9786 3.0996 8.4121
Pr Dy
2 13
Cartesian
2.1522 3.8706 3.3444
6.8860 7.8619 5.0677
0.7138 4.3164 0.0000
2.6341 10.1141 5.8393
2.1519 6.8470 2.2233
2.6383 3.6734 8.2014
3.5836 6.3772 5.6310
4.5177 9.0741 3.0130
5.0121 8.9163 7.8705
4.0261 2.8162 0.5416
4.5205 2.6584 5.3992
5.4546 5.3552 2.7811
6.3999 8.0590 0.2107
6.8863 4.8854 6.1889
6.4041 1.6183 2.5729
```

## Properties
- calculated volume (A^3/atom) = 32.11
- ρ (g/cm³) = 8.3
- formation energy (meV/atom) = 47.1
- spin magnetization (μB per cell) = 0.00

=====

[7]
Below is an optimized crystal structure of Pr6Dy, with properties calculated at the PBE level.

Geometry as POSCAR:
```
Pr6Dy
1.0
6.6824 0.0000 0.0000
0.0000 6.6824 0.0000
0.0000 0.0000 11.4590
Pr Dy
12 2
Cartesian
0.5443 3.8855 1.6001
0.5443 6.1381 9.8589
1.6706 1.6706 4.1619
1.6706 1.6706 7.2971
2.7969 3.8855 9.8589
2.7969 6.1381 1.6001
3.8855 0.5443 9.8589
3.8855 2.7969 1.6001
5.0118 5.0118 4.1619
5.0118 5.0118 7.2971
6.1381 0.5443 1.6001
6.1381 2.7969 9.8589
1.6706 5.0118 5.7295
5.0118 1.6706 5.7295
```

## Properties
- calculated volume (A^3/atom) = 36.55
- ρ (g/cm³) = 6.5
- formation energy (meV/atom) = 234.1
- spin magnetization (μB per cell) = 0.00

=====

[8]
Below is an optimized crystal structure of Pr7Dy5, with properties calculated at the PBE level.

Geometry as POSCAR:
```
Pr7Dy5
1.0
4.8948 -2.9399 0.0000
4.8948 2.9399 0.0000
-3.5824 0.0000 14.4534
Pr Dy
7 5
Cartesian
0.0000 0.0000 0.0000
-0.3085 0.0000 8.4130
-0.4258 0.0000 11.9908
3.4784 0.0000 4.1492
2.7288 0.0000 10.3042
6.6330 0.0000 2.4626
6.5157 0.0000 6.0404
0.1391 0.0000 4.3339
3.3142 0.0000 0.8682
3.1036 0.0000 7.2267
2.8930 0.0000 13.5852
6.0681 0.0000 10.1194
```

## Properties
- calculated volume (A^3/atom) = 34.66
- ρ (g/cm³) = 7.2
- formation energy (meV/atom) = 157.7
- spin magnetization (μB per cell) = 0.00

=====

> spin magnetization of number 8 (Pr7Dy5)?

0.00 μB per cell

=====

Copy entry 6 word for word.
Below is an optimized crystal structure of Pr2Dy13, with properties calculated at the PBE level.

Geometry as POSCAR:
```
Pr2Dy13
1.0
6.6319 0.0000 0.0000
1.4277 8.6328 0.0000
0.9786 3.0996 8.4121
Pr Dy
2 13
Cartesian
2.1522 3.8706 3.3444
6.8860 7.8619 5.0677
0.7138 4.3164 0.0000
2.6341 10.1141 5.8393
2.1519 6.8470 2.2233
2.6383 3.6734 8.2014
3.5836 6.3772 5.6310
4.5177 9.0741 3.0130
5.0121 8.9163 7.8705
4.0261 2.8162 0.5416
4.5205 2.6584 5.3992
5.4546 5.3552 2.7811
6.3999 8.0590 0.2107
6.8863 4.8854 6.1889
6.4041 1.6183 2.5729
```

## Properties
- calculated volume (A^3/atom) = 32.11
- ρ (g/cm³) = 8.3
- formation energy (meV/atom) = 47.1
- spin magnetization (μB per cell) = 0.00

=====

Repeat the third record exactly.
Below is an optimized crystal structure of Pr3Dy13, with properties calculated at the PBE level.

Geometry as POSCAR:
```
Pr3Dy13
1.0
10.0936 0.0000 0.0000
0.0000 5.0524 5.0609
0.0000 -5.0524 5.0609
Pr Dy
3 13
Cartesian
0.0000 0.0000 0.0000
2.5328 0.0000 2.5623
7.5608 0.0000 2.5623
0.0000 2.5056 7.6116
0.0000 -2.5056 7.6116
0.0000 0.0000 5.1030
2.5378 -2.5189 5.0818
2.5378 2.5189 5.0818
2.5417 0.0000 7.6010
5.0468 0.0000 0.0008
5.0468 -2.5434 2.5538
5.0468 2.5434 2.5538
5.0468 0.0000 5.1068
7.5519 0.0000 7.6010
7.5558 -2.5189 5.0818
7.5558 2.5189 5.0818
```

## Properties
- calculated volume (A^3/atom) = 32.26
- ρ (g/cm³) = 8.2
- formation energy (meV/atom) = 17.3
- spin magnetization (μB per cell) = 0.00

=====

> Which of these has the lowest ρ?

Pr6Dy